#w
Compound: Sr2Li2Pb
Source: Alexandria via LeMat-Bulk
Functional: PBE-GGA
Structure: relaxed

Geometry as CIF:
```
data_Sr2Li2Pb
_chemical_formula_sum 'Sr4 Li4 Pb2'
_space_group_name_H-M_alt 'P 4/m b m'
_space_group_IT_number 127
_space_group_name_Hall '-P 4 2ab'
_cell_length_a 7.682
_cell_length_b 7.682
_cell_length_c 5.237
_cell_angle_alpha 90.00
_cell_angle_beta 90.00
_cell_angle_gamma 90.00
loop_
_atom_site_label
_atom_site_fract_x
_atom_site_fract_y
_atom_site_fract_z
Sr1 0.197 0.303 0.000
Li1 0.129 0.629 0.500
Pb1 0.000 0.000 0.500
```

Properties
Magnetization in μB/f.u.: 0.0

#x
Compound: Sr2Li2Pb
Source: Alexandria via LeMat-Bulk
Functional: PBE-GGA
Structure: relaxed

Geometry as CIF:
```
data_Sr2Li2Pb
_chemical_formula_sum 'Sr4 Li4 Pb2'
_space_group_name_H-M_alt 'P 4/m b m'
_space_group_IT_number 127
_space_group_name_Hall '-P 4 2ab'
_cell_length_a 9.220
_cell_length_b 9.220
_cell_length_c 4.254
_cell_angle_alpha 90.00
_cell_angle_beta 90.00
_cell_angle_gamma 90.00
loop_
_atom_site_label
_atom_site_fract_x
_atom_site_fract_y
_atom_site_fract_z
Sr1 0.163 0.337 0.000
Li1 0.130 0.630 0.500
Pb1 0.000 0.000 0.000
```

Properties
Magnetization in μB/f.u.: 0.0

#y
Compound: Sr2Li2Pb
Source: Alexandria via LeMat-Bulk
Functional: PBE-GGA
Structure: relaxed

Geometry as CIF:
```
data_Sr2Li2Pb
_chemical_formula_sum 'Sr8 Li8 Pb4'
_space_group_name_H-M_alt 'C 1 2/c 1'
_space_group_IT_number 15
_space_group_name_Hall '-C 2yc'
_cell_length_a 11.041
_cell_length_b 6.442
_cell_length_c 9.008
_cell_angle_alpha 90.00
_cell_angle_beta 104.34
_cell_angle_gamma 90.00
loop_
_atom_site_label
_atom_site_fract_x
_atom_site_fract_y
_atom_site_fract_z
Sr1 0.153 0.127 0.151
Li1 0.120 0.379 0.495
Pb1 0.000 0.332 0.750
```

Properties
Magnetization in μB/f.u.: 0.0

#z
Compound: Sr2Li2Pb
Source: Alexandria via LeMat-Bulk
Functional: PBE-GGA
Structure: relaxed

Geometry as CIF:
```
data_Sr2Li2Pb
_chemical_formula_sum 'Sr8 Li8 Pb4'
_space_group_name_H-M_alt 'C 1 2/m 1'
_space_group_IT_number 12
_space_group_name_Hall '-C 2y'
_cell_length_a 12.015
_cell_length_b 5.023
_cell_length_c 12.440
_cell_angle_alpha 90.00
_cell_angle_beta 116.60
_cell_angle_gamma 90.00
loop_
_atom_site_label
_atom_site_fract_x
_atom_site_fract_y
_atom_site_fract_z
Sr1 0.024 0.000 0.340
Sr2 0.209 0.000 0.122
Li1 0.011 0.500 0.121
Li2 0.170 0.500 0.547
Pb1 0.237 0.500 0.337
```

Properties
Magnetization in μB/f.u.: 0.0

In order of decreasing stability: #y, #z, #w, #x.

#w
Compound: SrLiTlPb2
Source: Alexandria via LeMat-Bulk
Functional: PBE-GGA
Structure: relaxed

Geometry as CIF:
```
data_SrLiTlPb2
_chemical_formula_sum 'Sr2 Li2 Tl2 Pb4'
_space_group_name_H-M_alt 'P m m a'
_space_group_IT_number 51
_space_group_name_Hall '-P 2a 2a'
_cell_length_a 6.417
_cell_length_b 6.841
_cell_length_c 6.713
_cell_angle_alpha 90.00
_cell_angle_beta 90.00
_cell_angle_gamma 90.00
loop_
_atom_site_label
_atom_site_fract_x
_atom_site_fract_y
_atom_site_fract_z
Sr1 0.250 0.000 0.243
Li1 0.000 0.500 0.000
Tl1 0.250 0.500 0.354
Pb1 0.250 0.239 0.747
```

Properties
Magnetization in μB/f.u.: 0.0

#x
Compound: SrLiTlPb2
Source: Alexandria via LeMat-Bulk
Functional: PBE-GGA
Structure: relaxed

Geometry as CIF:
```
data_SrLiTlPb2
_chemical_formula_sum 'Sr1 Li1 Tl1 Pb2'
_space_group_name_H-M_alt 'P 4/m m m'
_space_group_IT_number 123
_space_group_name_Hall '-P 4 2'
_cell_length_a 5.314
_cell_length_b 5.314
_cell_length_c 5.283
_cell_angle_alpha 90.00
_cell_angle_beta 90.00
_cell_angle_gamma 90.00
loop_
_atom_site_label
_atom_site_fract_x
_atom_site_fract_y
_atom_site_fract_z
Sr1 0.000 0.000 0.000
Li1 0.500 0.500 0.500
Tl1 0.500 0.500 0.000
Pb1 0.000 0.500 0.500
```

Properties
Magnetization in μB/f.u.: 0.0

In order of decreasing stability: #w, #x.